No. 1
## Ag5SnAu6 (GGA-PBE)

Data for a relaxed Ag5SnAu6 crystal.

Total magnetization = 0.00 μB/f.u.
E = -3.2024 eV/atom
DFT formation energy = -0.97 kcal/mol of atoms
Energy above the lowest structure with this stoichiometry = 0 meV per atom

a b c (Å): 9.353 12.860 4.080
angles (deg): 90.00 115.75 90.00
Space group C2/m (No. 12)
Unique sites:
1 Ag 0.000 0.000 0.000 (multiplicity 2)
2 Ag 0.000 0.164 0.500 (multiplicity 4)
3 Ag 0.000 0.327 0.000 (multiplicity 4)
4 Sn 0.000 0.500 0.500 (multiplicity 2)
5 Au 0.248 0.000 0.748 (multiplicity 4)
6 Au 0.250 0.168 0.250 (multiplicity 8)

No. 2
## Ho2GePt5 (GGA-PBE)

Data for a relaxed Ho2GePt5 crystal.

Total magnetization = 0.00 μB/f.u.
E = -6.4307 eV/atom
DFT formation energy = -21.53 kcal/mol of atoms

a b c (Å): 5.816 11.837 4.138
angles (deg): 90.00 90.00 90.00
Space group Pbam (No. 55)
Unique sites:
1 Ho 0.226 0.134 0.000 (multiplicity 4)
2 Ge 0.000 0.500 0.500 (multiplicity 2)
3 Pt 0.000 0.000 0.500 (multiplicity 2)
4 Pt 0.022 0.750 0.500 (multiplicity 4)
5 Pt 0.230 0.381 0.000 (multiplicity 4)

No. 3
## SiIrCl2O (GGA-PBE)

Data for a relaxed SiIrCl2O crystal.

Total magnetization = 0.00 μB/f.u.
E = -3.9787 eV/atom
Energy relative to the elements, uncorrected = 0.6084 eV per atom

a b c (Å): 5.404 5.404 3.582
angles (deg): 90.00 90.00 90.00
Space group P4/mmm (No. 123)
Unique sites:
1 Si 0.000 0.000 0.000 (multiplicity 1)
2 Ir 0.500 0.500 0.000 (multiplicity 1)
3 Cl 0.000 0.500 0.500 (multiplicity 2)
4 O 0.500 0.500 0.500 (multiplicity 1)

No. 4
## CsCa2TlF (GGA-PBE)

Data for a relaxed CsCa2TlF crystal.

Total magnetization = 0.00 μB/f.u.
E = -2.0499 eV/atom
Energy above the lowest structure with this stoichiometry = 161 meV per atom
Energy relative to the elements, uncorrected = -0.2310 eV per atom

a b c (Å): 6.810 6.810 4.857
angles (deg): 90.00 90.00 90.00
Space group P4/mmm (No. 123)
Unique sites:
1 Cs 0.000 0.000 0.000 (multiplicity 1)
2 Ca 0.000 0.500 0.000 (multiplicity 2)
3 Tl 0.500 0.500 0.500 (multiplicity 1)
4 F 0.000 0.000 0.500 (multiplicity 1)

No. 5
## SrRh3Pb2O8 (GGA-PBE)

Data for a relaxed SrRh3Pb2O8 crystal.

Total magnetization = 0.00 μB/f.u.
E = -6.1566 eV/atom
Energy relative to the elements, uncorrected = -1.0982 eV per atom

a b c (Å): 6.4684 6.4684 17.3242
angles (deg): 90.00 90.00 120.00
Space group R3m (No. 160, hexagonal axes)
Unique sites:
1 Sr 0.0000 0.0000 0.0000 (multiplicity 3)
2 Rh 0.0013 0.5006 0.8739 (multiplicity 9)
3 Pb 0.0000 0.0000 0.3707 (multiplicity 3)
4 Pb 0.0000 0.0000 0.7570 (multiplicity 3)
5 O 0.0000 0.0000 0.1476 (multiplicity 3)
6 O 0.0000 0.0000 0.5972 (multiplicity 3)
7 O 0.0352 0.5176 0.1458 (multiplicity 9)
8 O 0.1850 0.3701 0.9350 (multiplicity 9)

No. 6
## TaGaI2 (GGA-PBE)

Data for a relaxed TaGaI2 crystal.

Total magnetization = 0.00 μB/f.u.
E = -4.5540 eV/atom
Energy above the lowest structure with this stoichiometry = 29 meV per atom
Energy relative to the elements, uncorrected = -0.0591 eV per atom

a b c (Å): 3.819 6.211 11.944
angles (deg): 75.95 80.85 89.96
Space group P1 (No. 1)
Unique sites:
1 Ta 0.000 0.000 0.000 (multiplicity 1)
2 Ta 0.094 0.823 0.811 (multiplicity 1)
3 Ga 0.514 0.728 0.972 (multiplicity 1)
4 Ga 0.902 0.719 0.206 (multiplicity 1)
5 I 0.096 0.367 0.806 (multiplicity 1)
6 I 0.314 0.574 0.379 (multiplicity 1)
7 I 0.443 0.241 0.113 (multiplicity 1)
8 I 0.686 0.965 0.627 (multiplicity 1)

No. 7
## UPa2As (GGA-PBE)

Data for a relaxed UPa2As crystal.

Total magnetization = 0.00 μB/f.u.
E = -9.1435 eV/atom
DFT formation energy = -9.48 kcal/mol of atoms
Energy above the lowest structure with this stoichiometry = 0 meV per atom

a b c (Å): 4.471 4.471 4.255
angles (deg): 90.00 90.00 90.00
Space group P4/mmm (No. 123)
Unique sites:
1 U 0.000 0.000 0.000 (multiplicity 1)
2 Pa 0.000 0.500 0.500 (multiplicity 2)
3 As 0.500 0.500 0.000 (multiplicity 1)

No. 8
## Ca3Sm2ScTe6 (GGA-PBE)

Data for a relaxed Ca3Sm2ScTe6 crystal.

Total magnetization = 0.00 μB/f.u.
E = -4.8264 eV/atom
Energy relative to the elements, uncorrected = -1.4410 eV per atom

a b c (Å): 19.404 4.387 8.928
angles (deg): 90.00 104.61 90.00
Space group C2/m (No. 12)
Unique sites:
1 Ca 0.000 0.000 0.000 (multiplicity 2)
2 Ca 0.170 0.500 0.336 (multiplicity 4)
3 Sm 0.168 0.500 0.836 (multiplicity 4)
4 Sc 0.000 0.000 0.500 (multiplicity 2)
5 Te 0.001 0.500 0.265 (multiplicity 4)
6 Te 0.160 0.000 0.579 (multiplicity 4)
7 Te 0.165 0.000 0.086 (multiplicity 4)

No. 9
## Ga3ReAg (GGA-PBE)

Data for a relaxed Ga3ReAg crystal.

Total magnetization = 0.00 μB/f.u.
E = -4.4638 eV/atom
DFT formation energy = 9.51 kcal/mol of atoms
Energy above the lowest structure with this stoichiometry = 0 meV per atom

a b c (Å): 4.840 4.840 4.840
angles (deg): 90.00 90.00 90.00
Space group Pm-3m (No. 221)
Unique sites:
1 Ga 0.000 0.000 0.500 (multiplicity 3)
2 Re 0.000 0.000 0.000 (multiplicity 1)
3 Ag 0.500 0.500 0.500 (multiplicity 1)

No. 10
## Li3U5Se12 (GGA-PBE)

Data for a relaxed Li3U5Se12 crystal.

Total magnetization = 8.98 μB/f.u.
E = -6.2250 eV/atom
Energy relative to the elements, uncorrected = -1.0252 eV per atom

a b c (Å): 11.3547 11.3547 4.0563
angles (deg): 90.00 90.00 120.00
Space group P-62m (No. 189)
Unique sites:
1 Li 0.0000 0.6792 0.0000 (multiplicity 3)
2 U 0.0000 0.2843 0.5000 (multiplicity 3)
3 U 0.3333 0.6667 0.5000 (multiplicity 2)
4 Se 0.0000 0.5263 0.5000 (multiplicity 3)
5 Se 0.0000 0.8329 0.5000 (multiplicity 3)
6 Se 0.1973 0.4534 0.0000 (multiplicity 6)

No. 11
## CdCoPb2 (GGA-PBE)

Data for a relaxed CdCoPb2 crystal.

Total magnetization = 1.25 μB/f.u.
E = -3.4936 eV/atom
DFT formation energy = 8.44 kcal/mol of atoms

a b c (Å): 3.753 4.501 5.780
angles (deg): 90.00 108.91 90.00
Space group Pm (No. 6)
Unique sites:
1 Cd 0.000 0.000 0.000 (multiplicity 1)
2 Co 0.139 0.500 0.286 (multiplicity 1)
3 Pb 0.413 0.500 0.823 (multiplicity 1)
4 Pb 0.716 0.000 0.438 (multiplicity 1)

No. 12
## HoBiTe3 (GGA-PBE)

Data for a relaxed HoBiTe3 crystal.

Total magnetization = 0.00 μB/f.u.
E = -4.3707 eV/atom
Energy above the lowest structure with this stoichiometry = 4 meV per atom
Energy relative to the elements, uncorrected = -0.7939 eV per atom

a b c (Å): 4.3940 4.3940 31.9133
angles (deg): 90.00 90.00 120.00
Space group R3m (No. 160, hexagonal axes)
Unique sites:
1 Ho 0.0000 0.0000 0.0000 (multiplicity 3)
2 Bi 0.0000 0.0000 0.2045 (multiplicity 3)
3 Te 0.0000 0.0000 0.3836 (multiplicity 3)
4 Te 0.0000 0.0000 0.6064 (multiplicity 3)
5 Te 0.0000 0.0000 0.8177 (multiplicity 3)

No. 13
## ReSnBr2 (GGA-PBE)

Data for a relaxed ReSnBr2 crystal.

Total magnetization = 0.00 μB/f.u.
E = -4.3685 eV/atom
Energy above the lowest structure with this stoichiometry = 106 meV per atom
Energy relative to the elements, uncorrected = 0.5807 eV per atom

a b c (Å): 3.2014 3.2014 30.8864
angles (deg): 90.00 90.00 120.00
Space group R-3m (No. 166, hexagonal axes)
Unique sites:
1 Re 0.0000 0.0000 0.0000 (multiplicity 3)
2 Sn 0.0000 0.0000 0.5000 (multiplicity 3)
3 Br 0.0000 0.0000 0.0775 (multiplicity 6)

No. 14
## Th4Bi2TeAs (GGA-PBE)

Data for a relaxed Th4Bi2TeAs crystal.

Total magnetization = 0.00 μB/f.u.
E = -6.5416 eV/atom
Energy relative to the elements, uncorrected = -0.8875 eV per atom

a b c (Å): 7.751 4.439 7.830
angles (deg): 90.00 109.02 90.00
Space group P2/m (No. 10)
Unique sites:
1 Th 0.221 0.000 0.227 (multiplicity 2)
2 Th 0.228 0.500 0.759 (multiplicity 2)
3 Bi 0.500 0.000 0.000 (multiplicity 1)
4 Bi 0.500 0.500 0.500 (multiplicity 1)
5 Te 0.000 0.000 0.500 (multiplicity 1)
6 As 0.000 0.500 0.000 (multiplicity 1)

No. 15
## In6SnHg7 (GGA-PBE)

Data for a relaxed In6SnHg7 crystal.

Total magnetization = 0.00 μB/f.u.
E = -1.5914 eV/atom
DFT formation energy = 0.44 kcal/mol of atoms

a b c (Å): 8.6077 8.6077 17.6210
angles (deg): 90.00 90.00 120.00
Space group R3 (No. 146, hexagonal axes)
Unique sites:
1 In 0.0398 0.2399 0.0000 (multiplicity 9)
2 In 0.1344 0.7103 0.1586 (multiplicity 9)
3 Sn 0.0000 0.0000 0.3319 (multiplicity 3)
4 Hg 0.0000 0.0000 0.1601 (multiplicity 3)
5 Hg 0.0446 0.2379 0.8271 (multiplicity 9)
6 Hg 0.1396 0.7110 0.3313 (multiplicity 9)

No. 16
## Nd5Dy4Er2 (GGA-PBE)

Data for a relaxed Nd5Dy4Er2 crystal.

Total magnetization = 0.00 μB/f.u.
E = -4.4633 eV/atom
DFT formation energy = 4.77 kcal/mol of atoms
Energy above the lowest structure with this stoichiometry = 132 meV per atom

a b c (Å): 3.525 9.157 23.568
angles (deg): 90.00 90.00 90.00
Space group Immm (No. 71)
Unique sites:
1 Nd 0.000 0.000 0.000 (multiplicity 2)
2 Nd 0.000 0.298 0.353 (multiplicity 8)
3 Dy 0.000 0.188 0.500 (multiplicity 4)
4 Dy 0.000 0.500 0.097 (multiplicity 4)
5 Er 0.000 0.500 0.230 (multiplicity 4)

No. 17
## Cd3In2Au7 (GGA-PBE)

Data for a relaxed Cd3In2Au7 crystal.

Total magnetization = 0.00 μB/f.u.
E = -2.6944 eV/atom
DFT formation energy = -2.25 kcal/mol of atoms

a b c (Å): 4.937 21.161 4.921
angles (deg): 90.00 90.00 90.00
Space group Cmmm (No. 65)
Unique sites:
1 Cd 0.000 0.000 0.000 (multiplicity 2)
2 Cd 0.000 0.152 0.000 (multiplicity 4)
3 In 0.000 0.351 0.500 (multiplicity 4)
4 Au 0.000 0.073 0.500 (multiplicity 4)
5 Au 0.000 0.217 0.500 (multiplicity 4)
6 Au 0.000 0.422 0.000 (multiplicity 4)
7 Au 0.000 0.500 0.500 (multiplicity 2)

No. 18
## PrSmTmTh (GGA-PBE)

Data for a relaxed PrSmTmTh crystal.

Total magnetization = 0.00 μB/f.u.
E = -5.1950 eV/atom
DFT formation energy = 3.52 kcal/mol of atoms
Energy above the lowest structure with this stoichiometry = 133 meV per atom

a b c (Å): 8.094 8.094 8.094
angles (deg): 90.00 90.00 90.00
Space group F-43m (No. 216)
Unique sites:
1 Pr 0.000 0.000 0.000 (multiplicity 4)
2 Sm 0.250 0.250 0.250 (multiplicity 4)
3 Tm 0.250 0.250 0.750 (multiplicity 4)
4 Th 0.000 0.000 0.500 (multiplicity 4)

No. 19
## ZrTc2Ir (GGA-PBE)

Data for a relaxed ZrTc2Ir crystal.

Total magnetization = 0.00 μB/f.u.
E = -9.5752 eV/atom
DFT formation energy = -0.92 kcal/mol of atoms
Energy above the lowest structure with this stoichiometry = 142 meV per atom

a b c (Å): 2.842 3.926 5.904
angles (deg): 90.00 90.16 90.00
Space group P2/m (No. 10)
Unique sites:
1 Zr 0.000 0.000 0.000 (multiplicity 1)
2 Tc 0.498 0.500 0.285 (multiplicity 2)
3 Ir 0.000 0.000 0.500 (multiplicity 1)

No. 20
## SrMn4Be (GGA-PBE)

Data for a relaxed SrMn4Be crystal.

Total magnetization = 10.56 μB/f.u.
E = -6.2627 eV/atom
DFT formation energy = 17.33 kcal/mol of atoms

a b c (Å): 7.250 7.250 7.250
angles (deg): 90.00 90.00 90.00
Space group F-43m (No. 216)
Unique sites:
1 Sr 0.000 0.000 0.000 (multiplicity 4)
2 Mn 0.122 0.122 0.622 (multiplicity 16)
3 Be 0.250 0.250 0.250 (multiplicity 4)